A geometry-optimized MgPa2Cl8 structure, computed with PBE. Values from VASP.

Formation energy (no corrections): -1.663 eV per atom
Final energy: -4.877 eV/atom
M_tot: 4.000 μB/f.u.

The structure in Quantum ESPRESSO input format:
```
&SYSTEM
  ibrav = 0, nat = 11, ntyp = 3
/
ATOMIC_SPECIES
Mg 24.30 Mg.upf
Pa 231.04 Pa.upf
Cl 35.45 Cl.upf
CELL_PARAMETERS angstrom
6.750 -3.231 0.000
6.750 3.231 0.000
-0.091 0.000 7.261
ATOMIC_POSITIONS crystal
Mg 0.000 0.000 0.000
Pa 0.116 0.116 0.552
Pa 0.884 0.884 0.448
Cl 0.176 0.176 0.910
Cl 0.218 0.720 0.733
Cl 0.280 0.782 0.267
Cl 0.301 0.301 0.409
Cl 0.699 0.699 0.591
Cl 0.720 0.218 0.733
Cl 0.782 0.280 0.267
Cl 0.824 0.824 0.090
```



A geometry-optimized CeHgI structure, computed with PBE. Values from VASP.

Formation energy (no corrections): -0.594 eV per atom
Excess energy over the best structure of this formula in the dataset: 0.124 eV per atom
Final energy: -3.189 eV/atom
M_tot: 1.194 μB/f.u.

The structure in Quantum ESPRESSO input format:
```
&SYSTEM
  ibrav = 0, nat = 12, ntyp = 3
/
ATOMIC_SPECIES
Ce 140.12 Ce.upf
Hg 200.59 Hg.upf
I 126.90 I.upf
CELL_PARAMETERS angstrom
4.134 0.000 0.000
0.000 25.392 0.000
0.000 0.000 4.260
ATOMIC_POSITIONS crystal
Ce 0.000 0.091 0.250
Ce 0.000 0.909 0.750
Ce 0.500 0.409 0.750
Ce 0.500 0.591 0.250
Hg 0.000 0.461 0.250
Hg 0.000 0.539 0.750
Hg 0.500 0.039 0.750
Hg 0.500 0.961 0.250
I 0.000 0.182 0.750
I 0.000 0.818 0.250
I 0.500 0.318 0.250
I 0.500 0.682 0.750
```



A geometry-optimized Sb2SeBr structure, computed with PBE. Values from VASP.

Formation energy (no corrections): 0.060 eV per atom
Excess energy over the best structure of this formula in the dataset: 0.199 eV per atom
Final energy: -3.291 eV/atom
M_tot: 0.000 μB/f.u.

The structure in Quantum ESPRESSO input format:
```
&SYSTEM
  ibrav = 0, nat = 16, ntyp = 3
/
ATOMIC_SPECIES
Sb 121.76 Sb.upf
Se 78.96 Se.upf
Br 79.90 Br.upf
CELL_PARAMETERS angstrom
8.115 0.000 0.000
0.000 8.115 0.000
0.000 0.000 6.923
ATOMIC_POSITIONS crystal
Sb 0.228 0.250 0.125
Sb 0.250 0.728 0.375
Sb 0.250 0.772 0.875
Sb 0.272 0.250 0.625
Sb 0.728 0.750 0.625
Sb 0.750 0.228 0.875
Sb 0.750 0.272 0.375
Sb 0.772 0.750 0.125
Se 0.000 0.000 0.000
Se 0.000 0.500 0.250
Se 0.500 0.000 0.750
Se 0.500 0.500 0.500
Br 0.000 0.000 0.500
Br 0.000 0.500 0.750
Br 0.500 0.000 0.250
Br 0.500 0.500 0.000
```



A geometry-optimized Co2TcMo structure, computed with PBE. Values from VASP.

Excess energy over the best structure of this formula in the dataset: 0.228 eV per atom
Final energy: -8.657 eV/atom
M_tot: 1.702 μB/f.u.
Energy of formation: 0.196 eV per atom

The structure in Quantum ESPRESSO input format:
```
&SYSTEM
  ibrav = 0, nat = 8, ntyp = 3
/
ATOMIC_SPECIES
Co 58.93 Co.upf
Tc 98.00 Tc.upf
Mo 95.94 Mo.upf
CELL_PARAMETERS angstrom
8.711 0.000 0.000
0.000 2.665 0.000
-0.821 0.000 4.514
ATOMIC_POSITIONS crystal
Co 0.248 0.000 0.242
Co 0.252 0.500 0.758
Co 0.748 0.500 0.242
Co 0.752 0.000 0.758
Tc 0.000 0.500 0.000
Tc 0.500 0.000 0.000
Mo 0.000 0.000 0.500
Mo 0.500 0.500 0.500
```



A geometry-optimized Ac2LaNdTl4 structure, computed with PBE. Values from VASP.

Final energy: -3.786 eV/atom
M_tot: 0.000 μB/f.u.
Energy of formation: -0.364 eV per atom

The structure in Quantum ESPRESSO input format:
```
&SYSTEM
  ibrav = 0, nat = 8, ntyp = 4
/
ATOMIC_SPECIES
Ac 227.00 Ac.upf
La 138.91 La.upf
Nd 144.24 Nd.upf
Tl 204.38 Tl.upf
CELL_PARAMETERS angstrom
2.866 1.655 9.340
-2.866 1.655 9.340
0.000 -3.309 9.340
ATOMIC_POSITIONS crystal
Ac 0.250 0.250 0.250
Ac 0.750 0.750 0.750
La 0.500 0.500 0.500
Nd 0.000 0.000 0.000
Tl 0.124 0.124 0.124
Tl 0.374 0.374 0.374
Tl 0.626 0.626 0.626
Tl 0.876 0.876 0.876
```



A geometry-optimized SbMo2P structure, computed with PBE. Values from VASP.

Formation energy (no corrections): 0.265 eV per atom
Excess energy over the best structure of this formula in the dataset: 0.394 eV per atom
Final energy: -7.534 eV/atom
M_tot: 0.000 μB/f.u.

The structure in Quantum ESPRESSO input format:
```
&SYSTEM
  ibrav = 0, nat = 8, ntyp = 3
/
ATOMIC_SPECIES
Sb 121.76 Sb.upf
Mo 95.94 Mo.upf
P 30.97 P.upf
CELL_PARAMETERS angstrom
3.380 0.000 0.000
0.000 4.726 0.000
0.000 0.000 9.421
ATOMIC_POSITIONS crystal
Sb 0.000 0.000 0.000
Sb 0.500 0.500 0.000
Mo 0.000 0.000 0.472
Mo 0.000 0.500 0.245
Mo 0.500 0.000 0.245
Mo 0.500 0.500 0.472
P 0.000 0.500 0.658
P 0.500 0.000 0.658
```



A geometry-optimized La2MoRh structure, computed with PBE. Values from VASP.

Excess energy over the best structure of this formula in the dataset: 0.000 eV per atom
Final energy: -7.051 eV/atom
M_tot: 0.000 μB/f.u.
Energy of formation: -0.041 eV per atom

The structure in Quantum ESPRESSO input format:
```
&SYSTEM
  ibrav = 0, nat = 4, ntyp = 3
/
ATOMIC_SPECIES
La 138.91 La.upf
Mo 95.94 Mo.upf
Rh 102.91 Rh.upf
CELL_PARAMETERS angstrom
4.712 0.000 0.000
0.000 4.341 0.000
-2.349 0.000 5.183
ATOMIC_POSITIONS crystal
La 0.000 0.000 0.000
La 0.303 0.500 0.606
Mo 0.704 0.000 0.407
Rh 0.593 0.500 0.187
```



Q: What is the M_tot in the third record?
A: 0.000 μB/f.u.